1.
The following is a DFT calculation (PBE) of a relaxed Ac2Tm2Ni15 crystal.

a b c (Å): 6.5891 6.5891 6.5891
angles (deg): 82.24 82.24 82.24
Closest atoms and distances in Å follow each position.
Fractional positions:
Ac 0.1431 0.1431 0.1431  12 Ni 3.02-3.16, 1 Tm 3.19
Ac 0.8569 0.8569 0.8569  12 Ni 3.02-3.16, 1 Tm 3.19
Tm 0.3908 0.3908 0.3908  12 Ni 2.61-2.92, 1 Tm 2.81
Tm 0.6092 0.6092 0.6092  12 Ni 2.61-2.92, 1 Tm 2.81
Ni 0.0000 0.5000 0.5000  8 Ni 2.51, 2 Tm 2.61
Ni 0.1563 0.1563 0.6597  8 Ni 2.50-2.69, 1 Tm 2.66
Ni 0.1563 0.6597 0.1563  8 Ni 2.50-2.69, 1 Tm 2.66
Ni 0.2047 0.5000 0.7953  8 Ni 2.51-2.69
Ni 0.2047 0.7953 0.5000  8 Ni 2.51-2.69
Ni 0.3403 0.8437 0.8437  8 Ni 2.50-2.69, 1 Tm 2.66
Ni 0.5000 0.0000 0.5000  8 Ni 2.51, 2 Tm 2.61
Ni 0.5000 0.2047 0.7953  8 Ni 2.51-2.69
Ni 0.5000 0.5000 0.0000  8 Ni 2.51, 2 Tm 2.61
Ni 0.5000 0.7953 0.2047  8 Ni 2.51-2.69
Ni 0.6597 0.1563 0.1563  8 Ni 2.50-2.69, 1 Tm 2.66
Ni 0.7953 0.2047 0.5000  8 Ni 2.51-2.69
Ni 0.7953 0.5000 0.2047  8 Ni 2.51-2.69
Ni 0.8437 0.3403 0.8437  8 Ni 2.50-2.69, 1 Tm 2.66
Ni 0.8437 0.8437 0.3403  8 Ni 2.50-2.69, 1 Tm 2.66

Results
Formation energy (meV per atom): -199
Density (Mg/m³): 9.96
DOS(E_F) (states/eV per atom): 1.390
Electronic total energy (eV/atom): -5.67
Space group: R-3m

=====

2.
The following is a DFT calculation (PBE) of a relaxed KGeBr6 crystal.

a b c (Å): 9.2651 9.4628 7.6059
angles (deg): 90.00 118.22 90.00
Closest atoms and distances in Å follow each position.
Fractional positions:
K 0.0000 0.0000 0.0000  4 Br 3.43
K 0.5000 0.5000 0.0000  4 Br 3.43
Ge 0.0000 0.5000 0.5000  6 Br 2.49-2.51
Ge 0.5000 0.0000 0.5000  6 Br 2.49-2.51
Br 0.1423 0.3120 0.7589  1 Ge 2.51
Br 0.1423 0.6880 0.7589  1 Ge 2.51
Br 0.2336 0.5000 0.4246  1 Ge 2.49
Br 0.2664 0.0000 0.5754  1 Ge 2.49
Br 0.3577 0.1880 0.2411  1 Ge 2.51
Br 0.3577 0.8120 0.2411  1 Ge 2.51
Br 0.6423 0.1880 0.7589  1 Ge 2.51
Br 0.6423 0.8120 0.7589  1 Ge 2.51
Br 0.7336 0.0000 0.4246  1 Ge 2.49
Br 0.7664 0.5000 0.5754  1 Ge 2.49
Br 0.8577 0.3120 0.2411  1 Ge 2.51
Br 0.8577 0.6880 0.2411  1 Ge 2.51

Results
Density (Mg/m³): 3.34
Formation energy from raw total energies (eV/atom): -0.601
DOS(E_F) (states/eV per atom): 1.480
Electronic total energy (eV/atom): -2.57
Space group: C2/m

=====

3.
The following is a DFT calculation (PBE) of a relaxed CaFeRu2 crystal.

a b c (Å): 2.8900 3.5442 6.7917
angles (deg): 90.00 90.00 90.00
Closest atoms and distances in Å follow each position.
Fractional positions:
Ca 0.0000 0.0000 0.0000  2 Ca 2.89, 4 Ru 3.12, 4 Fe 3.16
Fe 0.5000 0.5000 0.3210  5 Ru 2.48-2.58
Ru 0.0000 0.0000 0.4974  4 Fe 2.58, 6 Ru 2.62-2.89
Ru 0.5000 0.5000 0.6866  1 Fe 2.48, 4 Ru 2.62

Results
Formation energy (meV per atom): 381
Density (Mg/m³): 7.11
DOS(E_F) (states/eV per atom): 1.258
Electronic total energy (eV/atom): -6.87
Space group: Pmm2

=====

4.
The following is a DFT calculation (PBE) of a relaxed Al3OF7 crystal.

a b c (Å): 5.7176 5.7176 4.7951
angles (deg): 90.00 90.00 120.00
Closest atoms and distances in Å follow each position.
Fractional positions:
Al 0.1747 0.3494 0.0000  1 O 1.82, 5 F 1.83-2.03
Al 0.1747 0.8253 0.0000  1 O 1.82, 5 F 1.83-2.03
Al 0.6506 0.8253 0.0000  1 O 1.82, 5 F 1.83-2.03
O 0.3333 0.6667 0.1916  3 Al 1.82
F 0.0000 0.0000 0.7786  3 Al 2.03
F 0.0257 0.5128 0.7855  2 Al 1.86
F 0.3001 0.1500 0.1756  2 Al 1.83
F 0.4872 0.5128 0.7855  2 Al 1.86
F 0.4872 0.9743 0.7855  2 Al 1.86
F 0.8500 0.1500 0.1756  2 Al 1.83
F 0.8500 0.6999 0.1756  2 Al 1.83

Results
Density (Mg/m³): 2.81
Formation energy from raw total energies (eV/atom): -3.301
DOS(E_F) (states/eV per atom): 0.000
Electronic total energy (eV/atom): -5.96
Space group: P3m1

=====

5.
The following is a DFT calculation (PBE) of a relaxed LiV2As2 crystal.

a b c (Å): 3.8215 3.8215 11.3669
angles (deg): 90.00 90.00 90.00
Closest atoms and distances in Å follow each position.
Fractional positions:
Li 0.0000 0.0000 0.0000  8 As 2.98
Li 0.5000 0.5000 0.5000  8 As 2.98
V 0.0000 0.5000 0.2500  4 As 2.48, 4 V 2.70
V 0.0000 0.5000 0.7500  4 As 2.48, 4 V 2.70
V 0.5000 0.0000 0.2500  4 As 2.48, 4 V 2.70
V 0.5000 0.0000 0.7500  4 As 2.48, 4 V 2.70
As 0.0000 0.0000 0.3887  4 V 2.48, 1 As 2.53
As 0.0000 0.0000 0.6113  4 V 2.48, 1 As 2.53
As 0.5000 0.5000 0.1113  4 V 2.48, 1 As 2.53
As 0.5000 0.5000 0.8887  4 V 2.48, 1 As 2.53

Results
Formation energy (meV per atom): -392
Density (Mg/m³): 5.18
Excess energy over the best structure of this formula in the dataset (eV per atom): 0.000
DOS(E_F) (states/eV per atom): 0.148
Electronic total energy (eV/atom): -6.28
Space group: I4/mmm

=====

6.
The following is a DFT calculation (PBE) of a relaxed Ca3Pm4S8 crystal.

a b c (Å): 8.0593 8.0593 8.0714
angles (deg): 119.88 119.88 90.12
Closest atoms and distances in Å follow each position.
Fractional positions:
Ca 0.0000 0.0000 0.0000  6 S 2.84-2.86
Ca 0.0000 0.5000 0.0000  6 S 2.85-2.86
Ca 0.5000 0.0000 0.0000  6 S 2.85-2.86
Pm 0.0000 0.5000 0.5000  6 S 2.85-2.86
Pm 0.5000 0.0000 0.5000  6 S 2.85-2.86
Pm 0.5000 0.5000 0.0000  6 S 2.83-2.86
Pm 0.5000 0.5000 0.5000  6 S 2.81-2.83
S 0.2492 0.7508 0.0000  3 Ca 2.84-2.85, 3 Pm 2.86
S 0.2512 0.2512 0.4997  4 Pm 2.83-2.86, 1 Ca 2.86
S 0.2525 0.7475 0.5000  3 Pm 2.82-2.85, 2 Ca 2.86
S 0.2561 0.2561 0.0092  2 Pm 2.81-2.83, 3 Ca 2.85-2.86
S 0.7439 0.7439 0.9908  2 Pm 2.81-2.83, 3 Ca 2.85-2.86
S 0.7475 0.2525 0.5000  3 Pm 2.82-2.85, 2 Ca 2.86
S 0.7488 0.7488 0.5003  4 Pm 2.83-2.86, 1 Ca 2.86
S 0.7508 0.2492 0.0000  3 Ca 2.84-2.85, 3 Pm 2.86

Results
Density (Mg/m³): 4.27
Formation energy from raw total energies (eV/atom): -2.072
DOS(E_F) (states/eV per atom): 0.266
Electronic total energy (eV/atom): -5.94
Space group: C2/m

=====

7.
The following is a DFT calculation (PBE) of a relaxed Li2PuPaCl8 crystal.

a b c (Å): 6.6512 6.6953 8.3859
angles (deg): 102.97 91.61 98.95
Closest atoms and distances in Å follow each position.
Fractional positions:
Li 0.0366 0.3720 0.3197  4 Cl 2.37-2.50
Li 0.9634 0.6280 0.6803  4 Cl 2.37-2.50
Pu 0.5000 0.0000 0.5000  6 Cl 2.79-2.85
Pa 0.5000 0.0000 0.0000  6 Cl 2.65-2.77
Cl 0.1280 0.7301 0.4559  2 Li 2.38-2.39
Cl 0.1448 0.7456 0.9405  1 Li 2.37, 1 Pa 2.65
Cl 0.3616 0.2272 0.2810  1 Li 2.50, 1 Pa 2.77
Cl 0.3786 0.2234 0.7958  1 Pa 2.70, 1 Pu 2.80
Cl 0.6214 0.7766 0.2042  1 Pa 2.70, 1 Pu 2.80
Cl 0.6384 0.7728 0.7190  1 Li 2.50, 1 Pa 2.77
Cl 0.8552 0.2544 0.0595  1 Li 2.37, 1 Pa 2.65
Cl 0.8720 0.2699 0.5441  2 Li 2.38-2.39

Results
Density (Mg/m³): 3.58
Formation energy from raw total energies (eV/atom): -1.825
DOS(E_F) (states/eV per atom): 1.234
Electronic total energy (eV/atom): -5.36
Space group: P-1

=====

8.
The following is a DFT calculation (PBE) of a relaxed Na2TcPd crystal.

a b c (Å): 8.1085 8.1085 5.3855
angles (deg): 90.00 90.00 90.00
Closest atoms and distances in Å follow each position.
Fractional positions:
Na 0.2210 0.2500 0.1250  2 Na 2.73, 2 Pd 2.79
Na 0.2500 0.7210 0.3750  2 Na 2.73, 2 Pd 2.79
Na 0.2500 0.7790 0.8750  2 Na 2.73, 2 Pd 2.79
Na 0.2790 0.2500 0.6250  2 Na 2.73, 2 Pd 2.79
Na 0.7210 0.7500 0.6250  2 Na 2.73, 2 Pd 2.79
Na 0.7500 0.2210 0.8750  2 Na 2.73, 2 Pd 2.79
Na 0.7500 0.2790 0.3750  2 Na 2.73, 2 Pd 2.79
Na 0.7790 0.7500 0.1250  2 Na 2.73, 2 Pd 2.79
Tc 0.0000 0.0000 0.5000  2 Pd 2.69
Tc 0.0000 0.5000 0.7500  2 Pd 2.69
Tc 0.5000 0.0000 0.2500  2 Pd 2.69
Tc 0.5000 0.5000 0.0000  2 Pd 2.69
Pd 0.0000 0.0000 0.0000  2 Tc 2.69, 4 Na 2.79
Pd 0.0000 0.5000 0.2500  2 Tc 2.69, 4 Na 2.79
Pd 0.5000 0.0000 0.7500  2 Tc 2.69, 4 Na 2.79
Pd 0.5000 0.5000 0.5000  2 Tc 2.69, 4 Na 2.79

Results
Formation energy (meV per atom): 979
Density (Mg/m³): 4.70
Excess energy over the best structure of this formula in the dataset (eV per atom): 0.048
DOS(E_F) (states/eV per atom): 0.916
Electronic total energy (eV/atom): -3.57
Space group: I-42d